# YPaSe3 | Alexandria | PBE | relaxed
data_YPaSe3
_symmetry_space_group_name_H-M 'P 1 21/m 1'
_symmetry_Int_Tables_number 11
_symmetry_space_group_name_Hall '-P 2yb'
_cell_length_a 7.161
_cell_length_b 4.100
_cell_length_c 10.403
_cell_angle_alpha 90.00
_cell_angle_beta 101.64
_cell_angle_gamma 90.00
loop_
_atom_site_label
_atom_site_fract_x
_atom_site_fract_y
_atom_site_fract_z
Y1 0.236 0.250 0.481
Pa1 0.358 0.250 0.843
Se1 0.017 0.750 0.333
Se2 0.262 0.750 0.007
Se3 0.446 0.750 0.655
# ΔE_f (raw) in kJ/mol of formula units: -727
# Distance to the lowest polymorph of the same formula in meV per atom: 0